# MnVI2O GGA+U optimized geometry
data_MnVI2O
_cell_length_a 5.7075
_cell_length_b 5.7075
_cell_length_c 3.7149
_cell_angle_alpha 90.00
_cell_angle_beta 90.00
_cell_angle_gamma 90.00
_space_group_name_H-M_alt 'P 1'
_space_group_IT_number 1
_space_group_name_Hall 'P 1'
loop_
_atom_site_label
_atom_site_fract_x
_atom_site_fract_y
_atom_site_fract_z
_atom_site_occupancy
O1 0.0000 0.0000 0.5000 1
I1 0.5000 0.0000 0.0000 1
I2 0.0000 0.5000 0.0000 1
V1 0.5000 0.5000 0.5000 1
Mn1 0.0000 0.0000 0.0000 1
# E_tot: -4.0354 eV per atom
# theoretical density: 5.16 g cm⁻³